1.
## BaScPb2 (PBE)

Data for crystalline BaScPb2 at its relaxed geometry.

Cell: 5.149 5.149 4.800 Å, 90.00 90.00 90.00°
Space group P4/mmm (No. 123)
Inequivalent atoms, fractional coordinates:
Ba  0.000  0.000  0.000
Sc  0.500  0.500  0.000
Pb  0.000  0.500  0.500

Results
Energy of formation from the pure elements   -0.21 eV per atom
N(E_F)   0.95 states/eV per atom

---

2.
## SrCr2Br (PBE)

Data for crystalline SrCr2Br at its relaxed geometry.

Cell: 7.779 7.779 7.779 Å, 90.00 90.00 90.00°
Space group Fm-3m (No. 225)
Inequivalent atoms, fractional coordinates:
Sr  0.000  0.000  0.000
Cr  0.250  0.250  0.250
Br  0.000  0.000  0.500

Results
Energy relative to the lowest polymorph listed for this composition   0.7869 eV per atom
Raw formation energy   0.844 eV/atom
N(E_F)   0.48 states/eV per atom

---

3.
## HoPdRh (PBE)

Data for crystalline HoPdRh at its relaxed geometry.

Cell: 3.530 3.530 19.516 Å, 90.00 90.00 90.00°
Space group I4/mmm (No. 139)
Inequivalent atoms, fractional coordinates:
Ho  0.000  0.000  0.134
Pd  0.000  0.000  0.434
Rh  0.000  0.000  0.280

Results
Energy relative to the lowest polymorph listed for this composition   0.1803 eV per atom
Energy of formation from the pure elements   -0.45 eV per atom
N(E_F)   0.70 states/eV per atom

---

4.
## ZnMo2P (PBE)

Data for crystalline ZnMo2P at its relaxed geometry.

Cell: 9.180 2.962 4.419 Å, 90.00 105.59 90.00°
Space group Cm (No. 8)
Inequivalent atoms, fractional coordinates:
Zn  0.000  0.000  0.000
Mo  0.249  0.000  0.837
Mo  0.472  0.000  0.480
P  0.245  0.500  0.344

Results
Energy relative to the lowest polymorph listed for this composition   0.0945 eV per atom
Energy of formation from the pure elements   0.03 eV per atom
N(E_F)   0.93 states/eV per atom

---

5.
## Na3Tl2PbCl8 (PBE)

Data for crystalline Na3Tl2PbCl8 at its relaxed geometry.

Cell: 8.5774 8.5774 20.8708 Å, 90.00 90.00 120.00°
Space group R3m (No. 160, hexagonal axes)
Inequivalent atoms, fractional coordinates:
Na  0.1693  0.3387  0.0000
Tl  0.0000  0.0000  0.1638
Tl  0.0000  0.0000  0.7910
Pb  0.0000  0.0000  0.5435
Cl  0.0000  0.0000  0.4069
Cl  0.0000  0.0000  0.9256
Cl  0.0121  0.5061  0.9270
Cl  0.1693  0.3387  0.7375

Results
Raw formation energy   -1.269 eV/atom
N(E_F)   0.34 states/eV per atom

---

6.
## La6Si3F (PBE)

Data for crystalline La6Si3F at its relaxed geometry.

Cell: 11.767 14.556 7.177 Å, 90.00 90.00 90.00°
Space group Cmc2_1 (No. 36)
Inequivalent atoms, fractional coordinates:
La  0.000  0.039  0.000
La  0.000  0.222  0.512
La  0.164  0.473  0.522
La  0.168  0.271  0.024
Si  0.000  0.386  0.239
Si  0.171  0.109  0.295
F  0.000  0.201  0.859

Results
Raw formation energy   -0.894 eV/atom
N(E_F)   1.11 states/eV per atom

---

7.
## CuIr2Au (PBE)

Data for crystalline CuIr2Au at its relaxed geometry.

Cell: 6.203 6.203 6.203 Å, 90.00 90.00 90.00°
Space group Fm-3m (No. 225)
Inequivalent atoms, fractional coordinates:
Cu  0.000  0.000  0.000
Ir  0.250  0.250  0.250
Au  0.000  0.000  0.500

Results
Energy relative to the lowest polymorph listed for this composition   0.4057 eV per atom
Energy of formation from the pure elements   0.52 eV per atom
N(E_F)   1.20 states/eV per atom

---

8.
## Sm4Ga3Ni (PBE)

Data for crystalline Sm4Ga3Ni at its relaxed geometry.

Cell: 4.258 4.312 10.640 Å, 90.00 90.00 90.00°
Space group Pmm2 (No. 25)
Inequivalent atoms, fractional coordinates:
Sm  0.000  0.000  0.000
Sm  0.000  0.500  0.469
Sm  0.500  0.000  0.695
Sm  0.500  0.500  0.200
Ga  0.000  0.500  0.767
Ga  0.500  0.000  0.402
Ga  0.500  0.500  0.916
Ni  0.000  0.000  0.276

Results
Energy of formation from the pure elements   -0.51 eV per atom
N(E_F)   1.06 states/eV per atom

---

9.
## PmEuGd4 (PBE)

Data for crystalline PmEuGd4 at its relaxed geometry.

Cell: 10.907 10.907 10.907 Å, 90.00 90.00 90.00°
Space group F-43m (No. 216)
Inequivalent atoms, fractional coordinates:
Pm  0.000  0.000  0.000
Eu  0.250  0.250  0.750
Gd  0.138  0.138  0.138

Results
Energy of formation from the pure elements   1.20 eV per atom
N(E_F)   3.25 states/eV per atom

---

10.
## PbAu3Br (PBE)

Data for crystalline PbAu3Br at its relaxed geometry.

Cell: 5.192 5.192 5.192 Å, 90.00 90.00 90.00°
Space group Pm-3m (No. 221)
Inequivalent atoms, fractional coordinates:
Pb  0.000  0.000  0.000
Au  0.000  0.500  0.500
Br  0.500  0.500  0.500

Results
Energy relative to the lowest polymorph listed for this composition   0.0820 eV per atom
Raw formation energy   0.736 eV/atom
N(E_F)   0.58 states/eV per atom

---

- Number 1 is which compound?
  BaScPb2